Entry 1:
This record from Alexandria describes an optimized crystal structure of Rb3CaAg2I6. The functional is GGA-PBE.

Energy relative to the elements, uncorrected: -11.224 eV per formula unit
Density of states at the Fermi level: 4.679 states/eV/cell
SG: P-3m1

Unit cell a=8.880 b=8.880 c=9.056 alpha=90.00 beta=90.00 gamma=120.00
Element x y z (fractional)
Rb 0.000 0.000 0.000
Rb 0.333 0.667 0.616
Rb 0.667 0.333 0.384
Ca 0.000 0.000 0.500
Ag 0.333 0.667 0.153
Ag 0.667 0.333 0.847
I 0.165 0.330 0.296
I 0.165 0.835 0.296
I 0.330 0.165 0.704
I 0.670 0.835 0.296
I 0.835 0.165 0.704
I 0.835 0.670 0.704


Entry 2:
This record from Alexandria describes an optimized crystal structure of Rb2CaAgI5. The functional is GGA-PBE.

Energy relative to the elements, uncorrected: -11.422 eV per formula unit
Density of states at the Fermi level: 0.000 states/eV/cell
SG: Cmc2_1

Unit cell a=11.107 b=11.107 c=15.211 alpha=90.00 beta=90.00 gamma=155.27
Element x y z (fractional)
Rb 0.115 0.885 0.500
Rb 0.123 0.877 0.133
Rb 0.877 0.123 0.633
Rb 0.885 0.115 0.000
Ca 0.205 0.795 0.833
Ca 0.795 0.205 0.333
Ag 0.437 0.563 0.249
Ag 0.563 0.437 0.749
I 0.060 0.940 0.853
I 0.290 0.710 0.473
I 0.302 0.698 0.190
I 0.348 0.652 0.819
I 0.498 0.502 0.088
I 0.502 0.498 0.588
I 0.652 0.348 0.319
I 0.698 0.302 0.690
I 0.710 0.290 0.973
I 0.940 0.060 0.353


Entry 3:
This record from Alexandria describes an optimized crystal structure of CaAgSbI2. The functional is GGA-PBE.

Energy relative to the elements, uncorrected: -0.623 eV per formula unit
Energy above the lowest structure with this stoichiometry: 0.000 eV per formula unit
Density of states at the Fermi level: 5.029 states/eV/cell
SG: P4/mmm

Unit cell a=5.694 b=5.694 c=5.546 alpha=90.00 beta=90.00 gamma=90.00
Element x y z (fractional)
Ca 0.000 0.000 0.000
Ag 0.500 0.500 0.500
Sb 0.500 0.500 0.000
I 0.000 0.500 0.500
I 0.500 0.000 0.500


Entry 4:
This record from Alexandria describes an optimized crystal structure of CaAgSeI. The functional is GGA-PBE.

Energy relative to the elements, uncorrected: -4.531 eV per formula unit
Density of states at the Fermi level: 0.000 states/eV/cell
SG: R-3m

Unit cell a=14.857 b=14.857 c=14.857 alpha=17.12 beta=17.12 gamma=17.12
Element x y z (fractional)
Ca 0.080 0.080 0.080
Ca 0.920 0.920 0.920
Ag 0.314 0.314 0.314
Ag 0.686 0.686 0.686
Se 0.377 0.377 0.377
Se 0.623 0.623 0.623
I 0.212 0.212 0.212
I 0.788 0.788 0.788


Entry 5:
This record from Alexandria describes an optimized crystal structure of CaSi2AgI. The functional is GGA-PBE.

Energy relative to the elements, uncorrected: 5.801 eV per formula unit
Density of states at the Fermi level: 4.085 states/eV/cell
SG: P4/mmm

Unit cell a=5.629 b=5.629 c=5.493 alpha=90.00 beta=90.00 gamma=90.00
Element x y z (fractional)
Ca 0.000 0.000 0.000
Si 0.000 0.500 0.000
Si 0.500 0.000 0.000
Ag 0.000 0.000 0.500
I 0.500 0.500 0.500


Entry 6:
This record from Alexandria describes an optimized crystal structure of CaTaAg2I. The functional is GGA-PBE.

Energy relative to the elements, uncorrected: 5.695 eV per formula unit
Density of states at the Fermi level: 3.434 states/eV/cell
SG: P4/mmm

Unit cell a=5.370 b=5.370 c=5.156 alpha=90.00 beta=90.00 gamma=90.00
Element x y z (fractional)
Ca 0.000 0.000 0.000
Ta 0.500 0.500 0.000
Ag 0.000 0.500 0.500
Ag 0.500 0.000 0.500
I 0.500 0.500 0.500


Entry 7:
This record from Alexandria describes an optimized crystal structure of CaAgTe2I. The functional is GGA-PBE.

Energy relative to the elements, uncorrected: -1.366 eV per formula unit
Energy above the lowest structure with this stoichiometry: 0.000 eV per formula unit
Density of states at the Fermi level: 2.711 states/eV/cell
SG: P4/mmm

Unit cell a=5.473 b=5.473 c=5.745 alpha=90.00 beta=90.00 gamma=90.00
Element x y z (fractional)
Ca 0.000 0.000 0.000
Ag 0.500 0.500 0.500
Te 0.000 0.500 0.500
Te 0.500 0.000 0.500
I 0.500 0.500 0.000


Entry 8:
This record from Alexandria describes an optimized crystal structure of CaAg2TeI. The functional is GGA-PBE.

Energy relative to the elements, uncorrected: 2.393 eV per formula unit
Density of states at the Fermi level: 10.600 states/eV/cell
SG: P4/mmm

Unit cell a=5.904 b=5.904 c=5.636 alpha=90.00 beta=90.00 gamma=90.00
Element x y z (fractional)
Ca 0.000 0.000 0.000
Ag 0.000 0.500 0.000
Ag 0.500 0.000 0.000
Te 0.000 0.000 0.500
I 0.500 0.500 0.500


Entry 9:
This record from Alexandria describes an optimized crystal structure of CaAgTeI. The functional is GGA-PBE.

Energy relative to the elements, uncorrected: -4.149 eV per formula unit
Density of states at the Fermi level: 0.000 states/eV/cell
SG: R-3m

Unit cell a=15.192 b=15.192 c=15.192 alpha=17.41 beta=17.41 gamma=17.41
Element x y z (fractional)
Ca 0.085 0.085 0.085
Ca 0.915 0.915 0.915
Ag 0.314 0.314 0.314
Ag 0.686 0.686 0.686
Te 0.378 0.378 0.378
Te 0.622 0.622 0.622
I 0.210 0.210 0.210
I 0.790 0.790 0.790


Entry 10:
This record from Alexandria describes an optimized crystal structure of CaAgTeI2. The functional is GGA-PBE.

Energy relative to the elements, uncorrected: -1.965 eV per formula unit
Energy above the lowest structure with this stoichiometry: 0.000 eV per formula unit
Density of states at the Fermi level: 2.576 states/eV/cell
SG: P4/mmm

Unit cell a=5.602 b=5.602 c=5.696 alpha=90.00 beta=90.00 gamma=90.00
Element x y z (fractional)
Ca 0.000 0.000 0.000
Ag 0.500 0.500 0.500
Te 0.500 0.500 0.000
I 0.000 0.500 0.500
I 0.500 0.000 0.500


Entry 11:
This record from Alexandria describes an optimized crystal structure of CaTl2AgI5. The functional is GGA-PBE.

Energy relative to the elements, uncorrected: -7.985 eV per formula unit
Density of states at the Fermi level: 0.000 states/eV/cell
SG: Cmc2_1

Unit cell a=10.542 b=10.542 c=15.100 alpha=90.00 beta=90.00 gamma=154.56
Element x y z (fractional)
Ca 0.206 0.794 0.500
Ca 0.794 0.206 0.000
Tl 0.105 0.895 0.149
Tl 0.125 0.875 0.799
Tl 0.875 0.125 0.299
Tl 0.895 0.105 0.649
Ag 0.439 0.561 0.912
Ag 0.561 0.439 0.412
I 0.053 0.947 0.520
I 0.285 0.715 0.142
I 0.300 0.700 0.856
I 0.358 0.642 0.481
I 0.497 0.503 0.249
I 0.503 0.497 0.749
I 0.642 0.358 0.981
I 0.700 0.300 0.356
I 0.715 0.285 0.642
I 0.947 0.053 0.020


Entry 12:
This record from Alexandria describes an optimized crystal structure of CaV2AgI. The functional is GGA-PBE.

Energy relative to the elements, uncorrected: 4.227 eV per formula unit
Density of states at the Fermi level: 17.271 states/eV/cell
SG: P4/mmm

Unit cell a=5.076 b=5.076 c=5.800 alpha=90.00 beta=90.00 gamma=90.00
Element x y z (fractional)
Ca 0.000 0.000 0.000
V 0.000 0.500 0.500
V 0.500 0.000 0.500
Ag 0.000 0.000 0.500
I 0.500 0.500 0.000


Entry 13:
This record from Alexandria describes an optimized crystal structure of CaInAg5. The functional is GGA-PBE.

Energy: -80.72 eV/cell
Density of states at the Fermi level: 10.587 states/eV/cell
SG: Pnma

Unit cell a=9.050 b=5.746 c=11.405 alpha=90.00 beta=90.00 gamma=90.00
Element x y z (fractional)
Ca 0.244 0.250 0.058
Ca 0.256 0.750 0.558
Ca 0.744 0.250 0.442
Ca 0.756 0.750 0.942
In 0.147 0.750 0.850
In 0.353 0.250 0.350
In 0.647 0.750 0.650
In 0.853 0.250 0.150
Ag 0.062 0.008 0.307
Ag 0.062 0.492 0.307
Ag 0.069 0.750 0.086
Ag 0.103 0.250 0.521
Ag 0.185 0.250 0.764
Ag 0.315 0.750 0.264
Ag 0.397 0.750 0.021
Ag 0.431 0.250 0.586
Ag 0.438 0.508 0.807
Ag 0.438 0.992 0.807
Ag 0.562 0.008 0.193
Ag 0.562 0.492 0.193
Ag 0.569 0.750 0.414
Ag 0.603 0.250 0.979
Ag 0.685 0.250 0.736
Ag 0.815 0.750 0.236
Ag 0.897 0.750 0.479
Ag 0.931 0.250 0.914
Ag 0.938 0.508 0.693
Ag 0.938 0.992 0.693


Entry 14:
This record from Alexandria describes an optimized crystal structure of Ca4InAg2. The functional is GGA-PBE.

Energy: -37.13 eV/cell
Density of states at the Fermi level: 9.051 states/eV/cell
SG: Cmcm

Unit cell a=5.428 b=5.428 c=15.847 alpha=90.00 beta=90.00 gamma=120.01
Element x y z (fractional)
Ca 0.000 0.000 0.000
Ca 0.000 0.000 0.500
Ca 0.333 0.667 0.636
Ca 0.333 0.667 0.864
Ca 0.334 0.666 0.250
Ca 0.666 0.334 0.750
Ca 0.667 0.333 0.136
Ca 0.667 0.333 0.364
In 0.001 0.999 0.250
In 0.999 0.001 0.750
Ag 0.334 0.666 0.055
Ag 0.334 0.666 0.445
Ag 0.666 0.334 0.555
Ag 0.666 0.334 0.945


Entry 15:
This record from Alexandria describes an optimized crystal structure of Ca6In5Ag. The functional is GGA-PBE.

Energy: -33.84 eV/cell
Density of states at the Fermi level: 7.420 states/eV/cell
SG: P2/m

Unit cell a=5.376 b=7.787 c=8.461 alpha=90.00 beta=107.33 gamma=90.00
Element x y z (fractional)
Ca 0.000 0.244 0.000
Ca 0.000 0.756 0.000
Ca 0.342 0.248 0.674
Ca 0.342 0.752 0.674
Ca 0.658 0.248 0.326
Ca 0.658 0.752 0.326
In 0.162 0.000 0.343
In 0.163 0.500 0.337
In 0.500 0.500 0.000
In 0.837 0.500 0.663
In 0.838 0.000 0.657
Ag 0.500 0.000 0.000


Entry 16:
This record from Alexandria describes an optimized crystal structure of CaIn3Ag8. The functional is GGA-PBE.

Energy above the lowest structure with this stoichiometry: 0.144 eV per formula unit
Density of states at the Fermi level: 6.298 states/eV/cell
SG: P3m1

Unit cell a=5.624 b=5.624 c=9.181 alpha=90.00 beta=90.00 gamma=120.00
Element x y z (fractional)
Ca 0.000 0.000 0.000
In 0.000 0.000 0.378
In 0.667 0.333 0.502
In 0.667 0.333 0.872
Ag 0.164 0.328 0.684
Ag 0.164 0.836 0.684
Ag 0.333 0.667 0.435
Ag 0.333 0.667 0.934
Ag 0.503 0.005 0.186
Ag 0.503 0.497 0.186
Ag 0.672 0.836 0.684
Ag 0.995 0.497 0.186


Entry 17:
This record from Alexandria describes an optimized crystal structure of CaIn2Ag. The functional is GGA-PBE.

Energy: -10.99 eV/cell
Density of states at the Fermi level: 1.924 states/eV/cell
SG: C2/m

Unit cell a=5.580 b=5.580 c=3.434 alpha=90.40 beta=90.40 gamma=110.13
Element x y z (fractional)
Ca 0.000 0.000 0.000
In 0.000 0.500 0.500
In 0.500 0.000 0.500
Ag 0.500 0.500 0.000


Entry 18:
This record from Alexandria describes an optimized crystal structure of Ca2InAg. The functional is GGA-PBE.

Energy: -10.42 eV/cell
Density of states at the Fermi level: 1.900 states/eV/cell
SG: R-3m

Unit cell a=9.676 b=9.676 c=9.676 alpha=22.90 beta=22.90 gamma=22.90
Element x y z (fractional)
Ca 0.245 0.245 0.245
Ca 0.755 0.755 0.755
In 0.000 0.000 0.000
Ag 0.500 0.500 0.500


Entry 19:
This record from Alexandria describes an optimized crystal structure of Ca2InAg. The functional is GGA-PBE.

Energy: -10.81 eV/cell
Density of states at the Fermi level: 2.746 states/eV/cell
SG: Cm

Unit cell a=6.128 b=6.128 c=5.386 alpha=109.78 beta=109.78 gamma=35.90
Element x y z (fractional)
Ca 0.000 0.000 0.000
Ca 0.208 0.208 0.662
In 0.447 0.447 0.458
Ag 0.748 0.748 0.187


Entry 20:
This record from Alexandria describes an optimized crystal structure of Ca2In3Ag4. The functional is GGA-PBE.

Energy above the lowest structure with this stoichiometry: 0.000 eV per formula unit
Density of states at the Fermi level: 6.105 states/eV/cell
SG: Cmce

Unit cell a=9.249 b=9.249 c=7.903 alpha=90.00 beta=90.00 gamma=141.18
Element x y z (fractional)
Ca 0.098 0.902 0.897
Ca 0.402 0.598 0.397
Ca 0.598 0.402 0.603
Ca 0.902 0.098 0.103
In 0.000 0.000 0.500
In 0.009 0.491 0.750
In 0.491 0.009 0.250
In 0.500 0.500 0.000
In 0.509 0.991 0.750
In 0.991 0.509 0.250
Ag 0.164 0.836 0.515
Ag 0.176 0.324 0.750
Ag 0.324 0.176 0.250
Ag 0.336 0.664 0.015
Ag 0.664 0.336 0.985
Ag 0.676 0.824 0.750
Ag 0.824 0.676 0.250
Ag 0.836 0.164 0.485


no.,calculated volume (Å³/cell)
1,618
2,785
3,180
4,248
5,174
6,149
7,172
8,196
9,274
10,179
11,721
12,149
13,593
14,404
15,338
16,252
17,100
18,120
19,111
20,424